DFT (PBE+U) results for MnVWO6 after structural relaxation.

## Properties
Crystal system   trigonal
DFT total energy   -7.66 eV per atom
Magnetization   6.00 μB/f.u.
D(E_F)   5.26 states/eV/cell

Structure (CIF):
```
data_MnVWO6
_chemical_formula_sum 'Mn2 V2 W2 O12'
_symmetry_space_group_name_H-M 'P -3 1 c'
_symmetry_Int_Tables_number 163
_symmetry_space_group_name_Hall '-P 3 2c'
_cell_length_a 5.1125
_cell_length_b 5.1125
_cell_length_c 9.3162
_cell_angle_alpha 90.00
_cell_angle_beta 90.00
_cell_angle_gamma 120.00
loop_
_atom_site_label
_atom_site_fract_x
_atom_site_fract_y
_atom_site_fract_z
Mn1 0.0000 0.0000 0.0000
V1 0.3333 0.6667 0.2500
W1 0.3333 0.6667 0.7500
O1 0.0028 0.3578 0.6357
```